{
  "formula": "V2GaGe2",
  "functional": "GGA-PBE",
  "state": "optimized geometry",
  "final_energy_ev_per_atom": -6.04,
  "e_form_ev_per_atom": 0.0562,
  "space_group": "No. 127",
  "relative_energy_ev_per_fu": 0.84,
  "crystal_system": "tetragonal",
  "cell": [[6.6805, 0.0000, 0.0000], [0.0000, 6.6805, 0.0000], [0.0000, 0.0000, 3.3578]],
  "species": ["V", "V", "V", "V", "Ga", "Ga", "Ge", "Ge", "Ge", "Ge"],
  "fractional_positions": [[0.1631, 0.3369, 0.0000], [0.3369, 0.8369, 0.0000], [0.6631, 0.1631, 0.0000], [0.8369, 0.6631, 0.0000], [0.0000, 0.0000, 0.5000], [0.5000, 0.5000, 0.5000], [0.1358, 0.6358, 0.5000], [0.3642, 0.1358, 0.5000], [0.6358, 0.8642, 0.5000], [0.8642, 0.3642, 0.5000]]
}